Entry from the Alexandria database: a geometry-optimized SmPaV structure (PBE).

a b c (Å): 11.8438 3.3587 8.0595
angles (deg): 90.00 115.27 90.00
Sites, in units of the cell vectors:
Sm: 0.1000 0.0000 0.3801
Sm: 0.4000 0.5000 0.6199
Sm: 0.6000 0.5000 0.3801
Sm: 0.9000 0.0000 0.6199
Pa: 0.1352 0.5000 0.0086
Pa: 0.3648 0.0000 0.9914
Pa: 0.6352 0.0000 0.0086
Pa: 0.8648 0.5000 0.9914
V: 0.1722 0.5000 0.7389
V: 0.3278 0.0000 0.2611
V: 0.6722 0.0000 0.7389
V: 0.8278 0.5000 0.2611

VASP energy, eV/atom: -7.4428
D(E_F), states/eV/f.u.: 4.4
Calculated formation energy, eV/atom: 0.335